Material: Hf2BeZnPt2
Method: DFT, PBE
State: relaxed

Unit cell a=5.4132 b=5.2563 c=7.9540 alpha=109.29 beta=109.89 gamma=90.00
Fractional positions:
1 Hf 0.3707 0.1726 0.3453
2 Hf 0.6293 0.8274 0.6547
3 Hf 0.0254 0.3274 0.6547
4 Hf 0.9746 0.6726 0.3453
5 Be 0.5000 0.7500 0.0000
6 Be 0.5000 0.2500 0.0000
7 Zn 0.0000 0.7500 0.0000
8 Zn 0.0000 0.2500 0.0000
9 Pt 0.8243 0.1295 0.2590
10 Pt 0.4347 0.6295 0.2590
11 Pt 0.5653 0.3705 0.7410
12 Pt 0.1757 0.8705 0.7410

Values from the calculation:
Crystal system: orthorhombic
N(E_F) in states/eV per cell: 3.56
Symmetry: Ibam, No. 72
Calculated formation energy in meV/atom: -774.3